No. 1
{"formula": "PaSiS", "functional": "PBE", "state": "optimized geometry", "relative_energy_ev_per_atom": 0.0000, "volume_a3_per_fu": 58.73, "sg": "No. 139", "crystal_system": "tetragonal", "formation_energy_uncorrected_ev_per_atom": -1.1673, "rho_g_cm3": 8.23, "cell": [[-1.913, 1.913, 8.027], [1.913, -1.913, 8.027], [1.913, 1.913, -8.027]], "species": ["Pa", "Pa", "Si", "Si", "S", "S"], "frac_coords": [[0.139, 0.139, 0.000], [0.861, 0.861, 0.000], [0.000, 0.500, 0.500], [0.500, 0.000, 0.500], [0.317, 0.317, 0.000], [0.683, 0.683, 0.000]]}

No. 2
{"formula": "KRuBr2", "functional": "PBE", "state": "optimized geometry", "relative_energy_ev_per_atom": 0.2125, "volume_a3_per_fu": 119.74, "sg": "No. 65", "crystal_system": "orthorhombic", "formation_energy_uncorrected_ev_per_atom": -0.0772, "rho_g_cm3": 4.16, "cell": [[1.993, -3.797, 0.000], [1.993, 3.797, 0.000], [0.000, 0.000, 7.909]], "species": ["K", "Ru", "Br", "Br"], "frac_coords": [[0.000, 0.000, 0.000], [0.000, 0.000, 0.500], [0.500, 0.500, 0.298], [0.500, 0.500, 0.702]]}

No. 3
{"formula": "Mg5Cd2NiRh2", "functional": "PBE", "state": "optimized geometry", "volume_a3_per_fu": 184.64, "sg": "No. 127", "formation_enthalpy_0k_kj_per_mol_fu": -203, "crystal_system": "tetragonal", "rho_g_cm3": 5.49, "cell": [[10.852, 0.000, 0.000], [0.000, 10.852, 0.000], [0.000, 0.000, 3.136]], "species": ["Mg", "Mg", "Mg", "Mg", "Mg", "Mg", "Mg", "Mg", "Mg", "Mg", "Cd", "Cd", "Cd", "Cd", "Ni", "Ni", "Rh", "Rh", "Rh", "Rh"], "frac_coords": [[0.000, 0.500, 0.000], [0.056, 0.190, 0.000], [0.190, 0.944, 0.000], [0.310, 0.444, 0.000], [0.444, 0.690, 0.000], [0.500, 0.000, 0.000], [0.556, 0.310, 0.000], [0.690, 0.556, 0.000], [0.810, 0.056, 0.000], [0.944, 0.810, 0.000], [0.176, 0.676, 0.500], [0.324, 0.176, 0.500], [0.676, 0.824, 0.500], [0.824, 0.324, 0.500], [0.000, 0.000, 0.500], [0.500, 0.500, 0.500], [0.138, 0.362, 0.500], [0.362, 0.862, 0.500], [0.638, 0.138, 0.500], [0.862, 0.638, 0.500]]}

No. 4
{"formula": "Cr2RuBr", "functional": "PBE", "state": "optimized geometry", "relative_energy_ev_per_atom": 0.0653, "volume_a3_per_fu": 69.54, "sg": "No. 10", "crystal_system": "monoclinic", "formation_energy_uncorrected_ev_per_atom": 0.5343, "rho_g_cm3": 6.81, "cell": [[3.610, 0.000, 0.000], [0.000, 2.918, 0.000], [-0.015, 0.000, 6.602]], "species": ["Cr", "Cr", "Ru", "Br"], "frac_coords": [[0.002, 0.000, 0.164], [0.998, 0.000, 0.836], [0.500, 0.500, 0.000], [0.000, 0.500, 0.500]]}

No. 5
{"formula": "K2CaSc", "functional": "PBE", "state": "optimized geometry", "relative_energy_ev_per_atom": 0.1482, "volume_a3_per_fu": 175.54, "sg": "No. 10", "formation_enthalpy_0k_kj_per_mol_fu": 187, "crystal_system": "monoclinic", "rho_g_cm3": 1.54, "cell": [[3.684, 0.000, 0.000], [0.000, 7.028, 0.000], [-0.466, 0.000, 6.780]], "species": ["K", "K", "Ca", "Sc"], "frac_coords": [[0.250, 0.000, 0.243], [0.750, 0.000, 0.757], [0.000, 0.500, 0.500], [0.500, 0.500, 0.000]]}

No. 6
{"formula": "Ni2AgOs", "functional": "PBE", "state": "optimized geometry", "relative_energy_ev_per_atom": 0.2475, "volume_a3_per_fu": 55.36, "sg": "No. 35", "formation_enthalpy_0k_kj_per_mol_fu": 170, "crystal_system": "orthorhombic", "rho_g_cm3": 12.46, "cell": [[1.376, -2.247, 0.000], [1.376, 2.247, 0.000], [0.000, 0.000, 8.954]], "species": ["Ni", "Ni", "Ag", "Os"], "frac_coords": [[0.000, 0.000, 0.000], [0.500, 0.500, 0.222], [0.000, 0.000, 0.479], [0.500, 0.500, 0.767]]}

No. 7
{"formula": "Tm2BeGaPt6", "functional": "PBE", "state": "optimized geometry", "volume_a3_per_fu": 182.48, "sg": "No. 12", "formation_enthalpy_0k_kj_per_mol_fu": -846, "crystal_system": "monoclinic", "rho_g_cm3": 14.44, "cell": [[4.856, -2.803, 0.000], [4.856, 2.803, 0.000], [-3.246, 0.000, 6.703]], "species": ["Tm", "Tm", "Be", "Ga", "Pt", "Pt", "Pt", "Pt", "Pt", "Pt"], "frac_coords": [[0.207, 0.207, 0.123], [0.793, 0.793, 0.877], [0.000, 0.000, 0.500], [0.500, 0.500, 0.000], [0.241, 0.241, 0.716], [0.242, 0.735, 0.716], [0.265, 0.758, 0.284], [0.735, 0.242, 0.716], [0.758, 0.265, 0.284], [0.759, 0.759, 0.284]]}

No. 8
{"formula": "CsNbAsSe2", "functional": "PBE", "state": "optimized geometry", "relative_energy_ev_per_atom": 2.5744, "volume_a3_per_fu": 169.16, "sg": "No. 123", "crystal_system": "tetragonal", "formation_energy_uncorrected_ev_per_atom": 2.0384, "rho_g_cm3": 4.50, "cell": [[5.482, 0.000, 0.000], [0.000, 5.482, 0.000], [0.000, 0.000, 5.630]], "species": ["Cs", "Nb", "As", "Se", "Se"], "frac_coords": [[0.000, 0.000, 0.000], [0.500, 0.500, 0.500], [0.000, 0.000, 0.500], [0.000, 0.500, 0.000], [0.500, 0.000, 0.000]]}